VASP calculation (GGA-PBE) on a relaxed YTm2Th6 crystal.

```
data_YTm2Th6
_chemical_formula_sum 'Y2 Tm4 Th12'
_space_group_name_H-M_alt 'C 1 2/m 1'
_space_group_IT_number 12
_cell_length_a 11.659
_cell_length_b 7.011
_cell_length_c 9.198
_cell_angle_alpha 90.00
_cell_angle_beta 126.20
_cell_angle_gamma 90.00
loop_
_space_group_symop_operation_xyz
'x,y,z'
'-x,-y,-z'
'-x,y,-z'
'x,-y,z'
'x+1/2,y+1/2,z'
'-x+1/2,-y+1/2,-z'
'-x+1/2,y+1/2,-z'
'x+1/2,-y+1/2,z'
loop_
_atom_site_label
_atom_site_fract_x
_atom_site_fract_y
_atom_site_fract_z
Y1 0.000 0.000 0.000
Tm1 0.204 0.500 0.121
Th1 0.074 0.238 0.351
Th2 0.173 0.500 0.705
```

VASP calculation (GGA-PBE) on a relaxed YTm6Th4 crystal.

```
data_YTm6Th4
_chemical_formula_sum 'Y2 Tm12 Th8'
_space_group_name_H-M_alt 'I m m m'
_space_group_IT_number 71
_space_group_name_Hall '-I 2 2'
_cell_length_a 3.404
_cell_length_b 5.795
_cell_length_c 35.513
_cell_angle_alpha 90.00
_cell_angle_beta 90.00
_cell_angle_gamma 90.00
loop_
_atom_site_label
_atom_site_fract_x
_atom_site_fract_y
_atom_site_fract_z
Y1 0.000 0.000 0.000
Tm1 0.000 0.500 0.131
Tm2 0.000 0.500 0.233
Tm3 0.000 0.500 0.404
Th1 0.000 0.000 0.182
Th2 0.000 0.000 0.456
```

Summary:
The value obtained for the relative energy among the computed polymorphs is 0.000 eV per atom.

VASP calculation (GGA-PBE) on a relaxed Y4TmTh5 crystal.

```
data_Y4TmTh5
_chemical_formula_sum 'Y8 Tm2 Th10'
_space_group_name_H-M_alt 'C 1 2/m 1'
_space_group_IT_number 12
_cell_length_a 17.655
_cell_length_b 3.443
_cell_length_c 11.204
_cell_angle_alpha 90.00
_cell_angle_beta 107.48
_cell_angle_gamma 90.00
loop_
_space_group_symop_operation_xyz
'x,y,z'
'-x,-y,-z'
'-x,y,-z'
'x,-y,z'
'x+1/2,y+1/2,z'
'-x+1/2,-y+1/2,-z'
'-x+1/2,y+1/2,-z'
'x+1/2,-y+1/2,z'
loop_
_atom_site_label
_atom_site_fract_x
_atom_site_fract_y
_atom_site_fract_z
Y1 0.093 0.000 0.307
Y2 0.197 0.500 0.591
Tm1 0.000 0.500 0.500
Th1 0.000 0.500 0.000
Th2 0.109 0.000 0.795
Th3 0.197 0.000 0.093
```

VASP calculation (GGA-PBE) on a relaxed YTm3Th4 crystal.

```
data_YTm3Th4
_chemical_formula_sum 'Y2 Tm6 Th8'
_space_group_name_H-M_alt 'P m m n'
_space_group_IT_number 59
_cell_length_a 5.020
_cell_length_b 10.044
_cell_length_c 10.068
_cell_angle_alpha 90.00
_cell_angle_beta 90.00
_cell_angle_gamma 90.00
loop_
_space_group_symop_operation_xyz
'x,y,z'
'-x,-y,-z'
'-x+1/2,-y+1/2,z'
'x+1/2,y+1/2,-z'
'x+1/2,-y,-z'
'-x+1/2,y,z'
'-x,y+1/2,-z'
'x,-y+1/2,z'
loop_
_atom_site_label
_atom_site_fract_x
_atom_site_fract_y
_atom_site_fract_z
Y1 0.250 0.250 0.126
Tm1 0.250 0.001 0.873
Tm2 0.250 0.750 0.127
Th1 0.250 0.250 0.626
Th2 0.250 0.501 0.375
Th3 0.250 0.750 0.624
```

VASP calculation (GGA-PBE) on a relaxed Y4Tm10Th crystal.

```
data_Y4Tm10Th
_chemical_formula_sum 'Y8 Tm20 Th2'
_space_group_name_H-M_alt 'I 4/m'
_space_group_IT_number 87
_space_group_name_Hall '-I 4'
_cell_length_a 9.721
_cell_length_b 9.721
_cell_length_c 10.266
_cell_angle_alpha 90.00
_cell_angle_beta 90.00
_cell_angle_gamma 90.00
loop_
_atom_site_label
_atom_site_fract_x
_atom_site_fract_y
_atom_site_fract_z
Y1 0.072 0.333 0.000
Tm1 0.000 0.500 0.250
Tm2 0.111 0.211 0.337
Th1 0.000 0.000 0.000
```

VASP calculation (GGA-PBE) on a relaxed Y2Tm8Th3 crystal.

```
data_Y2Tm8Th3
_chemical_formula_sum 'Y4 Tm16 Th6'
_space_group_name_H-M_alt 'C m m m'
_space_group_IT_number 65
_space_group_name_Hall '-C 2 2'
_cell_length_a 7.821
_cell_length_b 19.829
_cell_length_c 5.494
_cell_angle_alpha 90.00
_cell_angle_beta 90.00
_cell_angle_gamma 90.00
loop_
_atom_site_label
_atom_site_fract_x
_atom_site_fract_y
_atom_site_fract_z
Y1 0.000 0.238 0.000
Tm1 0.000 0.128 0.500
Tm2 0.000 0.332 0.500
Tm3 0.203 0.393 0.000
Th1 0.000 0.000 0.000
Th2 0.203 0.500 0.500
```

Summary:
The value obtained for the relative energy among the computed polymorphs is 0.000 eV per atom.

Density of states at the Fermi level
In order: 22.32 31.33 32.68 29.49 54.24 45.77
Unit: states/eV/cell
Calculated formation energy
In order: 273.4 169.8 130.9 26.0 584.8 348.5
Unit: kJ/mol of formula units